1.
# SiAgF2

An optimized crystal structure of SiAgF2 (GGA-PBEsol, Alexandria).

Geometry as POSCAR:
```
SiAgF2
1.0
-2.3527 -0.0333 1.3513
-0.0133 -0.3316 2.6930
-0.2795 8.8576 2.4562
Si Ag F
1 1 2
Cartesian
0.0000 0.0000 0.0000
-1.3227 4.2463 3.2502
-2.2739 1.2594 4.2447
-0.3716 7.2332 2.2558
```

Properties
As for the energy relative to the elements, uncorrected: -5.479 eV per formula unit. Its calculated total energy is -18.39 eV per formula unit. The theoretical density comes out at 4999 kg/m³. For the volume, the calculation gives 14.444 Å³/atom. For the relative energy among the computed polymorphs, the calculation gives 0.0000 eV per atom. The symmetry is R-3m (166).

=====

2.
# KLi2IrRh

An optimized crystal structure of KLi2IrRh (GGA-PBEsol, Alexandria).

Geometry as POSCAR:
```
KLi2IrRh
1.0
-4.4812 -0.9173 -0.7892
-0.6626 -0.6733 4.5446
-1.1592 5.1516 0.5943
K Ir Rh Li
1 1 1 2
Cartesian
-0.5796 2.5758 0.2971
0.0000 0.0000 0.0000
-3.1515 1.7805 2.1748
-0.3313 -0.3367 2.2723
-2.2406 -0.4587 -0.3946
```

Properties
Its calculated total energy is -15.88 eV per formula unit. The value obtained for the formation energy is 1429 meV/atom. The theoretical density comes out at 5049 kg/m³. For the volume, the calculation gives 22.898 Å³/atom. The symmetry is P4/mmm (123).

=====

3.
# LaInPb2

An optimized crystal structure of LaInPb2 (GGA-PBEsol, Alexandria).

Geometry as POSCAR:
```
LaInPb2
1.0
-0.2427 1.6348 4.4679
-4.8024 -0.4684 -0.0895
0.4086 -4.5087 1.6719
Pb In La
2 1 1
Cartesian
0.2043 -2.2544 0.8360
-2.4012 -0.2342 -0.0447
-2.3182 -1.6712 3.0251
-0.1214 0.8174 2.2339
```

Properties
Its calculated total energy is -18.34 eV per formula unit. The value obtained for the formation energy is -505 meV/atom. The theoretical density comes out at 9999 kg/m³. For the volume, the calculation gives 27.738 Å³/atom. The symmetry is P4/mmm (123).

=====

4.
# MgAu3Br

An optimized crystal structure of MgAu3Br (GGA-PBEsol, Alexandria).

Geometry as POSCAR:
```
MgAu3Br
1.0
-2.0207 -3.8787 -2.2465
4.0799 -2.6121 0.8401
-1.8562 -1.5189 4.2921
Mg Au Br
1 3 1
Cartesian
0.0000 0.0000 0.0000
2.0400 -1.3061 0.4200
-0.9281 -0.7594 2.1460
-1.0104 -1.9394 -1.1233
0.1015 -4.0049 1.4428
```

Properties
As for the energy relative to the elements, uncorrected: 3.388 eV per formula unit. Its calculated total energy is -11.97 eV per formula unit. The theoretical density comes out at 9711 kg/m³. For the volume, the calculation gives 23.772 Å³/atom. The symmetry is Pm-3m (221).

=====

5.
# Re2PtAu

An optimized crystal structure of Re2PtAu (GGA-PBEsol, Alexandria).

Geometry as POSCAR:
```
Re2PtAu
1.0
3.9378 0.0000 0.0000
0.0000 3.9378 0.0000
-1.9689 -1.9689 3.8658
Au Pt Re
1 1 2
Cartesian
1.9689 1.9689 0.0000
0.0000 1.9689 1.9329
0.0000 0.0000 0.0000
1.9689 0.0000 1.9329
```

Properties
Its calculated total energy is -36.65 eV per formula unit. The value obtained for the formation energy is 224 meV/atom. The theoretical density comes out at 21177 kg/m³. For the volume, the calculation gives 14.986 Å³/atom. For the relative energy among the computed polymorphs, the calculation gives 0.0000 eV per atom. The symmetry is I-4m2 (119).

=====

6.
# TlFeCo2Ni

An optimized crystal structure of TlFeCo2Ni (GGA-PBEsol, Alexandria).

Geometry as POSCAR:
```
TlFeCo2Ni
1.0
-3.7460 1.8500 -0.2511
-1.8453 -3.5832 1.1286
0.3258 1.2861 4.6160
Ni Tl Co Fe
1 1 2 1
Cartesian
-2.6327 -0.2235 2.7468
0.1629 0.6430 2.3080
-0.9226 -1.7916 0.5643
-1.8730 0.9250 -0.1255
0.0000 0.0000 0.0000
```

Properties
Its calculated total energy is -26.33 eV per formula unit. The value obtained for the formation energy is 1380 meV/atom. The theoretical density comes out at 8620 kg/m³. For the volume, the calculation gives 16.827 Å³/atom. The symmetry is P4/mmm (123).

=====

7.
# SrHgPO2

An optimized crystal structure of SrHgPO2 (GGA-PBEsol, Alexandria).

Geometry as POSCAR:
```
SrHgPO2
1.0
-1.2985 4.0721 -0.8412
-4.1451 -1.3374 -0.0757
-0.3614 0.8545 4.6943
Sr Hg O P
1 1 2 1
Cartesian
-2.9025 1.7946 1.8887
0.0000 0.0000 0.0000
-2.0725 -0.6687 -0.0378
-0.6493 2.0361 -0.4206
-0.1807 0.4273 2.3472
```

Properties
As for the energy relative to the elements, uncorrected: -1.325 eV per formula unit. Its calculated total energy is -20.02 eV per formula unit. The theoretical density comes out at 6422 kg/m³. For the volume, the calculation gives 18.161 Å³/atom. For the relative energy among the computed polymorphs, the calculation gives 0.0000 eV per atom. The symmetry is P4/mmm (123).

=====

8.
# NaHg2AsP

An optimized crystal structure of NaHg2AsP (GGA-PBEsol, Alexandria).

Geometry as POSCAR:
```
NaHg2AsP
1.0
4.9234 0.0000 0.0000
0.0000 5.0710 0.0000
0.0000 0.0000 5.0710
P As Hg Na
1 1 2 1
Cartesian
0.0000 0.0000 0.0000
2.4617 0.0000 0.0000
0.0000 0.0000 2.5355
0.0000 2.5355 0.0000
2.4617 2.5355 2.5355
```

Properties
Its calculated total energy is -12.34 eV per formula unit. The value obtained for the formation energy is 218 meV/atom. The theoretical density comes out at 6952 kg/m³. For the volume, the calculation gives 25.322 Å³/atom. The symmetry is P4/mmm (123).